# 1
PBE-GGA CrBrCl2, optimized geometry; SG = No. 12; formation energy from raw total energies = 5 kJ/mol of atoms; raw total energy = -14.80 eV/cell; ΔE to the lowest computed polymorph = 932 meV per atom
1.0
-4.718 1.175 2.081
0.299 -5.141 1.206
-0.597 -1.141 4.808
Br Cl Cr
1 2 1
Direct
0.000 0.500 0.500
0.500 0.500 0.000
0.000 0.000 0.000
0.500 0.000 0.500

# 2
PBE-GGA CrBrCl, optimized geometry; SG = No. 1; formation energy from raw total energies = -67 kJ/mol of atoms; raw total energy = -30.46 eV/cell; ΔE to the lowest computed polymorph = 80 meV per atom
1.0
6.339 -0.193 0.952
0.190 4.051 0.202
1.124 1.255 6.541
Cr Br Cl
2 2 2
Direct
0.347 0.513 0.274
0.826 0.818 0.542
0.054 0.316 0.644
0.514 0.584 0.873
0.093 0.924 0.200
0.561 0.028 0.354

# 3
PBE-GGA CrBrCl, optimized geometry; SG = No. 8; formation energy from raw total energies = -63 kJ/mol of atoms; raw total energy = -60.41 eV/cell; ΔE to the lowest computed polymorph = 122 meV per atom
1.0
-4.671 -1.685 5.579
2.531 0.051 2.135
1.122 14.435 -1.676
Cl Br Cr
4 4 4
Direct
0.953 0.500 0.645
0.518 0.500 0.601
0.518 0.000 0.101
0.953 0.000 0.145
0.896 0.000 0.911
0.420 0.000 0.862
0.896 0.500 0.411
0.420 0.500 0.362
0.675 0.500 0.938
0.721 0.500 0.078
0.721 0.000 0.578
0.675 0.000 0.438

# 4
PBE-GGA CrBrCl2, optimized geometry; SG = No. 166; formation energy from raw total energies = 1 kJ/mol of atoms; raw total energy = -14.95 eV/cell; ΔE to the lowest computed polymorph = 894 meV per atom
1.0
-6.368 2.525 10.284
-4.322 5.160 10.362
-7.143 5.290 8.584
Cl Br Cr
2 1 1
Direct
0.058 0.058 0.058
0.942 0.942 0.942
0.500 0.500 0.500
0.000 0.000 0.000

Number 1: size of the total moment 1.13 μB/atom. Number 2: size of the total moment 1.33 μB/atom. Number 3: size of the total moment 0.30 μB/atom. Number 4: size of the total moment 0.81 μB/atom.